Record 1
DFT (GGA-PBE) results for a relaxed Y4CuPN2 crystal.

Computed properties:
Raw total energy in eV/cell: -60.349
Volume in A^3/atom: 18.67

abc: 3.6165 3.6165 13.1853
angles: 90.00 90.00 120.00
Positions (direct):
Y: 0.6667 0.3333 0.1543
Cu: 0.0000 0.0000 0.0000
N: 0.3333 0.6667 0.7438
Y: 0.0000 0.0000 0.6397
N: 0.3333 0.6667 0.2562
Y: 0.6667 0.3333 0.8457
Y: 0.0000 0.0000 0.3603
P: 0.6667 0.3333 0.5000

***

Record 2
DFT (GGA-PBE) results for a relaxed Y4CuPN2 crystal.

Computed properties:
Raw total energy in eV/cell: -60.339
Volume in A^3/atom: 18.54

abc: 3.6069 3.6069 13.1618
angles: 90.00 90.00 120.00
Positions (direct):
Y: 0.3333 0.6667 0.3459
Y: 0.0000 0.0000 0.8605
N: 0.6667 0.3333 0.7561
N: 0.6667 0.3333 0.2439
P: 0.3333 0.6667 0.0000
Cu: 0.0000 0.0000 0.5000
Y: 0.0000 0.0000 0.1395
Y: 0.3333 0.6667 0.6541

***

Record 3
DFT (GGA-PBE) results for a relaxed Zr4CuPN2 crystal.

Computed properties:
Raw total energy in eV/cell: -68.943
Volume in A^3/atom: 15.47

abc: 3.3439 3.3439 12.7779
angles: 90.00 90.00 120.00
Positions (direct):
Zr: 0.6667 0.3333 0.1615
N: 0.3333 0.6667 0.2570
Zr: 0.0000 0.0000 0.3588
Cu: 0.0000 0.0000 0.0000
P: 0.6667 0.3333 0.5000
N: 0.3333 0.6667 0.7430
Zr: 0.0000 0.0000 0.6412
Zr: 0.6667 0.3333 0.8385

***

Record 4
DFT (GGA-PBE) results for a relaxed Zr4CuPN2 crystal.

Computed properties:
Raw total energy in eV/cell: -68.943
Volume in A^3/atom: 15.47

abc: 3.3439 3.3439 12.7790
angles: 90.00 90.00 120.00
Positions (direct):
Zr: 0.6667 0.3333 0.3384
Cu: 0.3333 0.6667 0.5000
Zr: 0.6667 0.3333 0.6616
Zr: 0.3333 0.6667 0.1411
N: 0.0000 0.0000 0.2430
Zr: 0.3333 0.6667 0.8589
N: 0.0000 0.0000 0.7570
P: 0.6667 0.3333 0.0000